# Tc3As | Alexandria via LeMat-Bulk | GGA-PBEsol | relaxed
data_Tc3As
_chemical_formula_sum 'Tc6 As2'
_cell_length_a 2.877
_cell_length_b 9.075
_cell_length_c 4.398
_cell_angle_alpha 90.00
_cell_angle_beta 90.00
_cell_angle_gamma 90.00
_space_group_name_H-M_alt 'I m m 2'
_space_group_IT_number 44
loop_
_space_group_symop_operation_xyz
'x,y,z'
'-x,-y,z'
'-x,y,z'
'x,-y,z'
'x+1/2,y+1/2,z+1/2'
'-x+1/2,-y+1/2,z+1/2'
'-x+1/2,y+1/2,z+1/2'
'x+1/2,-y+1/2,z+1/2'
loop_
_atom_site_label
_atom_site_type_symbol
_atom_site_fract_x
_atom_site_fract_y
_atom_site_fract_z
Tc1 Tc 0.000 0.000 0.000
Tc2 Tc 0.000 0.279 0.701
As1 As 0.000 0.500 0.044
# E_tot = -9.67 eV/atom
# formation enthalpy at 0 K = 0.0588 eV per atom
# theoretical density = 10.67 g cm⁻³
# relative energy among the computed polymorphs = 11.8 kJ/mol of atoms